1.
First-principles (PBE) data for an optimized crystal structure of ReNiMo, as listed in Alexandria via LeMat-Bulk.

Properties
Calculated volume, Å³/cell: 83.8
N(E_F), states/eV per atom: 1.203
Spin magnetization, μB per cell: 0.0
Crystal system: tetragonal
Raw total energy, eV/atom: -9.583
Energy of formation, eV per atom: 0.10
Relative energy among the computed polymorphs, meV per atom: 113.6

```
data_ReNiMo
_cell_length_a 2.642
_cell_length_b 2.642
_cell_length_c 12.009
_cell_angle_alpha 90.00
_cell_angle_beta 90.00
_cell_angle_gamma 90.00
_space_group_name_H-M_alt 'I 4 m m'
_space_group_IT_number 107
_space_group_name_Hall 'I 4 -2'
loop_
_atom_site_label
_atom_site_fract_x
_atom_site_fract_y
_atom_site_fract_z
_atom_site_occupancy
Re1 0.000 0.000 0.000 1
Ni1 0.000 0.000 0.347 1
Mo1 0.000 0.000 0.685 1
```


2.
First-principles (PBE) data for an optimized crystal structure of TbEr2ScSb4, as listed in Alexandria via LeMat-Bulk.

Properties
Calculated volume, Å³/cell: 914.3
N(E_F), states/eV per atom: 0.156
Spin magnetization, μB per cell: 0.0
Raw formation energy, kJ per mole of atoms: -101.93
Crystal system: orthorhombic
Raw total energy, eV/atom: -5.629

```
data_TbEr2ScSb4
_cell_length_a 8.653
_cell_length_b 12.212
_cell_length_c 8.652
_cell_angle_alpha 90.00
_cell_angle_beta 90.00
_cell_angle_gamma 90.00
_space_group_name_H-M_alt 'F m m 2'
_space_group_IT_number 42
_space_group_name_Hall 'F 2 -2'
loop_
_atom_site_label
_atom_site_fract_x
_atom_site_fract_y
_atom_site_fract_z
_atom_site_occupancy
Tb1 0.000 0.000 0.000 1
Er1 0.250 0.250 0.251 1
Sc1 0.000 0.000 0.500 1
Sb1 0.000 0.244 0.501 1
Sb2 0.250 0.000 0.250 1
```


3.
First-principles (PBE) data for an optimized crystal structure of LaInH6Ru, as listed in Alexandria via LeMat-Bulk.

Properties
Calculated volume, Å³/cell: 91.0
N(E_F), states/eV per atom: 0.169
Spin magnetization, μB per cell: 0.0
Crystal system: hexagonal
Raw total energy, eV/atom: -4.304

```
data_LaInH6Ru
_cell_length_a 4.7478
_cell_length_b 4.7478
_cell_length_c 4.6596
_cell_angle_alpha 90.00
_cell_angle_beta 90.00
_cell_angle_gamma 120.00
_space_group_name_H-M_alt 'P -6 m 2'
_space_group_IT_number 187
_space_group_name_Hall 'P -6 2'
loop_
_atom_site_label
_atom_site_fract_x
_atom_site_fract_y
_atom_site_fract_z
_atom_site_occupancy
La1 0.0000 0.0000 0.0000 1
In1 0.3333 0.6667 0.5000 1
H1 0.5260 0.0520 0.2158 1
Ru1 0.6667 0.3333 0.5000 1
```


4.
First-principles (PBE) data for an optimized crystal structure of KErSe2O6, as listed in Alexandria via LeMat-Bulk.

Properties
Calculated volume, Å³/cell: 516.1
N(E_F), states/eV per atom: 0.000
Spin magnetization, μB per cell: 0.0
Raw formation energy, kJ per mole of atoms: -168.71
Crystal system: trigonal
Raw total energy, eV/atom: -5.986

```
data_KErSe2O6
_cell_length_a 5.6360
_cell_length_b 5.6360
_cell_length_c 18.7620
_cell_angle_alpha 90.00
_cell_angle_beta 90.00
_cell_angle_gamma 120.00
_space_group_name_H-M_alt 'R -3'
_space_group_IT_number 148
_space_group_name_Hall '-R 3'
loop_
_atom_site_label
_atom_site_fract_x
_atom_site_fract_y
_atom_site_fract_z
_atom_site_occupancy
K1 0.0000 0.0000 0.0000 1
Er1 0.0000 0.0000 0.5000 1
Se1 0.0000 0.0000 0.2726 1
O1 0.0274 0.6082 0.9029 1
```